[1]
Computed, not measured: crystalline Sr4SbAsH at its relaxed geometry at the GGA-PBE level of DFT.

Summary:
Magnetic moment, μB per formula unit: 0.0
N(E_F), states/eV/atom: 0.42
Calculated total energy, eV per atom: -3.553

Cell and atoms, written as CIF:
```
data_Sr4SbAsH
_space_group_name_H-M_alt 'I 4 m m'
_space_group_IT_number 107
_space_group_name_Hall 'I 4 -2'
_cell_length_a 4.897
_cell_length_b 4.897
_cell_length_c 17.488
_cell_angle_alpha 90.00
_cell_angle_beta 90.00
_cell_angle_gamma 90.00
loop_
_atom_site_label
_atom_site_type_symbol
_atom_site_fract_x
_atom_site_fract_y
_atom_site_fract_z
_atom_site_occupancy
Sr1 Sr 0.000 0.000 0.000 1
Sr2 Sr 0.000 0.000 0.362 1
Sr3 Sr 0.000 0.500 0.171 1
Sb1 Sb 0.000 0.000 0.811 1
As1 As 0.000 0.000 0.546 1
H1 H 0.000 0.000 0.147 1
```

[2]
Computed, not measured: crystalline Sb2TeAsH at its relaxed geometry at the GGA-PBE level of DFT.

Summary:
Magnetic moment, μB per formula unit: 0.0
N(E_F), states/eV/atom: 0.37
Energy above the most stable polymorph in this dataset, meV per atom: 0

Cell and atoms, written as CIF:
```
data_Sb2TeAsH
_space_group_name_H-M_alt 'P 4/m m m'
_space_group_IT_number 123
_space_group_name_Hall '-P 4 2'
_cell_length_a 4.440
_cell_length_b 4.440
_cell_length_c 5.488
_cell_angle_alpha 90.00
_cell_angle_beta 90.00
_cell_angle_gamma 90.00
loop_
_atom_site_label
_atom_site_type_symbol
_atom_site_fract_x
_atom_site_fract_y
_atom_site_fract_z
_atom_site_occupancy
Sb1 Sb 0.000 0.500 0.000 1
Te1 Te 0.000 0.000 0.500 1
As1 As 0.500 0.500 0.500 1
H1 H 0.000 0.000 0.000 1
```

[3]
Computed, not measured: crystalline Sb2TeAsH at its relaxed geometry at the GGA-PBE level of DFT.

Summary:
Magnetic moment, μB per formula unit: 0.5
N(E_F), states/eV/atom: 0.80
Energy above the most stable polymorph in this dataset, meV per atom: 504

Cell and atoms, written as CIF:
```
data_Sb2TeAsH
_space_group_name_H-M_alt 'P 4/m m m'
_space_group_IT_number 123
_space_group_name_Hall '-P 4 2'
_cell_length_a 5.414
_cell_length_b 5.414
_cell_length_c 5.609
_cell_angle_alpha 90.00
_cell_angle_beta 90.00
_cell_angle_gamma 90.00
loop_
_atom_site_label
_atom_site_type_symbol
_atom_site_fract_x
_atom_site_fract_y
_atom_site_fract_z
_atom_site_occupancy
Sb1 Sb 0.000 0.500 0.000 1
Te1 Te 0.000 0.000 0.500 1
As1 As 0.000 0.000 0.000 1
H1 H 0.500 0.500 0.500 1
```

[4]
Computed, not measured: crystalline Ti7Sb2AsH2 at its relaxed geometry at the GGA-PBE level of DFT.

Summary:
Magnetic moment, μB per formula unit: 0.0
N(E_F), states/eV/atom: 0.65
Calculated total energy, eV per atom: -6.778

Cell and atoms, written as CIF:
```
data_Ti7Sb2AsH2
_space_group_name_H-M_alt 'C 1 2/m 1'
_space_group_IT_number 12
_cell_length_a 5.625
_cell_length_b 5.625
_cell_length_c 11.665
_cell_angle_alpha 90.00
_cell_angle_beta 103.83
_cell_angle_gamma 90.00
loop_
_space_group_symop_operation_xyz
'x,y,z'
'-x,-y,-z'
'-x,y,-z'
'x,-y,z'
'x+1/2,y+1/2,z'
'-x+1/2,-y+1/2,-z'
'-x+1/2,y+1/2,-z'
'x+1/2,-y+1/2,z'
loop_
_atom_site_label
_atom_site_type_symbol
_atom_site_fract_x
_atom_site_fract_y
_atom_site_fract_z
_atom_site_occupancy
Ti1 Ti 0.000 0.000 0.000 1
Ti2 Ti 0.161 0.250 0.821 1
Ti3 Ti 0.195 0.000 0.395 1
Sb1 Sb 0.178 0.500 0.360 1
As1 As 0.000 0.500 0.000 1
H1 H 0.087 0.000 0.176 1
```

[5]
Computed, not measured: crystalline U2SbAsH2 at its relaxed geometry at the GGA-PBE level of DFT.

Summary:
Magnetic moment, μB per formula unit: 4.0
N(E_F), states/eV/atom: 1.12
Calculated total energy, eV per atom: -6.836

Cell and atoms, written as CIF:
```
data_U2SbAsH2
_space_group_name_H-M_alt 'P -3 m 1'
_space_group_IT_number 164
_space_group_name_Hall '-P 3 2"'
_cell_length_a 3.8974
_cell_length_b 3.8974
_cell_length_c 7.9617
_cell_angle_alpha 90.00
_cell_angle_beta 90.00
_cell_angle_gamma 120.00
loop_
_atom_site_label
_atom_site_type_symbol
_atom_site_fract_x
_atom_site_fract_y
_atom_site_fract_z
_atom_site_occupancy
U1 U 0.3333 0.6667 0.2313 1
Sb1 Sb 0.0000 0.0000 0.5000 1
As1 As 0.0000 0.0000 0.0000 1
H1 H 0.3333 0.6667 0.7577 1
```

[6]
Computed, not measured: crystalline ZrSbAs2H at its relaxed geometry at the GGA-PBE level of DFT.

Summary:
Magnetic moment, μB per formula unit: 0.0
N(E_F), states/eV/atom: 1.00
Calculated total energy, eV per atom: -3.715

Cell and atoms, written as CIF:
```
data_ZrSbAs2H
_space_group_name_H-M_alt 'P 4/m m m'
_space_group_IT_number 123
_space_group_name_Hall '-P 4 2'
_cell_length_a 5.259
_cell_length_b 5.259
_cell_length_c 5.497
_cell_angle_alpha 90.00
_cell_angle_beta 90.00
_cell_angle_gamma 90.00
loop_
_atom_site_label
_atom_site_type_symbol
_atom_site_fract_x
_atom_site_fract_y
_atom_site_fract_z
_atom_site_occupancy
Zr1 Zr 0.000 0.000 0.000 1
Sb1 Sb 0.000 0.000 0.500 1
As1 As 0.000 0.500 0.500 1
H1 H 0.500 0.500 0.000 1
```

[7]
Computed, not measured: crystalline ScAsH at its relaxed geometry at the GGA-PBE level of DFT.

Summary:
Magnetic moment, μB per formula unit: 0.0
N(E_F), states/eV/atom: 0.05
Energy above the most stable polymorph in this dataset, meV per atom: 49

Cell and atoms, written as CIF:
```
data_ScAsH
_space_group_name_H-M_alt 'P 1'
_space_group_IT_number 1
_cell_length_a 3.722
_cell_length_b 5.134
_cell_length_c 5.241
_cell_angle_alpha 89.63
_cell_angle_beta 70.58
_cell_angle_gamma 70.51
loop_
_space_group_symop_operation_xyz
'x,y,z'
loop_
_atom_site_label
_atom_site_type_symbol
_atom_site_fract_x
_atom_site_fract_y
_atom_site_fract_z
_atom_site_occupancy
Sc1 Sc 0.000 0.000 0.000 1
Sc2 Sc 0.058 0.434 0.454 1
As1 As 0.375 0.411 0.886 1
As2 As 0.401 0.842 0.367 1
H1 H 0.334 0.074 0.613 1
H2 H 0.701 0.287 0.316 1
```

[8]
Computed, not measured: crystalline Sc2AsH at its relaxed geometry at the GGA-PBE level of DFT.

Summary:
Magnetic moment, μB per formula unit: 0.0
N(E_F), states/eV/atom: 0.04
Energy above the most stable polymorph in this dataset, meV per atom: 199

Cell and atoms, written as CIF:
```
data_Sc2AsH
_space_group_name_H-M_alt 'R 3 m'
_space_group_IT_number 160
_space_group_name_Hall 'R 3 -2"'
_cell_length_a 3.6249
_cell_length_b 3.6249
_cell_length_c 19.5179
_cell_angle_alpha 90.00
_cell_angle_beta 90.00
_cell_angle_gamma 120.00
loop_
_atom_site_label
_atom_site_type_symbol
_atom_site_fract_x
_atom_site_fract_y
_atom_site_fract_z
_atom_site_occupancy
Sc1 Sc 0.0000 0.0000 0.0000 1
Sc2 Sc 0.0000 0.0000 0.1680 1
As1 As 0.0000 0.0000 0.5800 1
H1 H 0.0000 0.0000 0.3609 1
```